# 1
Compound: NaLa2BeIr
Source: the Alexandria database
Functional: PBE
Structure: relaxed

energy of formation = -73.8 kJ/mol of formula units
M_tot = 0.00 μB/cell
DFT total energy = -4.9052 eV/atom
Fermi-level density of states = 4.5 states/eV per cell

abc: 5.623 5.623 4.560
angles: 90.00 90.00 90.00
Space group P4/mmm (No. 123)
Symmetry-distinct sites (fractional):
1 Na 0.000 0.000 0.000
2 La 0.000 0.500 0.500
3 Be 0.500 0.500 0.000
4 Ir 0.500 0.500 0.500

=====

# 2
Compound: Th2URh9
Source: the Alexandria database
Functional: PBE
Structure: relaxed

energy of formation = -833.8 kJ/mol of formula units
M_tot = 0.00 μB/cell
DFT total energy = -8.4110 eV/atom
Fermi-level density of states = 13.3 states/eV per cell

abc: 4.092 4.092 12.320
angles: 90.00 90.00 90.00
Space group P4/mmm (No. 123)
Symmetry-distinct sites (fractional):
1 Th 0.000 0.000 0.168
2 U 0.000 0.000 0.500
3 Rh 0.000 0.500 0.000
4 Rh 0.000 0.500 0.346
5 Rh 0.500 0.500 0.172
6 Rh 0.500 0.500 0.500